P:
Entry from Alexandria via LeMat-Bulk: a relaxed structure of Ca3MgSc (GGA-PBE).

abc: 5.9874 5.9874 5.9874
angles: 90.00 90.00 90.00
Atoms (fractional coordinates):
Ca: 0.0000 0.0000 0.5000
Ca: 0.0000 0.5000 0.0000
Ca: 0.5000 0.0000 0.0000
Mg: 0.5000 0.5000 0.5000
Sc: 0.0000 0.0000 0.0000

Properties
The density of states at the Fermi level comes out at 0.859 states/eV per atom.



Q:
Entry from Alexandria via LeMat-Bulk: a relaxed structure of Ca3MgSc (GGA-PBE).

abc: 5.9108 5.9108 5.9108
angles: 90.00 90.00 90.00
Atoms (fractional coordinates):
Ca: 0.0000 0.0000 0.5000
Ca: 0.0000 0.5000 0.0000
Ca: 0.5000 0.0000 0.0000
Mg: 0.0000 0.0000 0.0000
Sc: 0.5000 0.5000 0.5000

Properties
The density of states at the Fermi level comes out at 2.033 states/eV per atom.



Of them, Q has the highest stability.